1.
BaLiAc2Se4: optimized geometry, GGA-PBE.

Calculated values
ΔE_f (raw) in meV/atom: -1840
V in Å³/atom: 31.3
SG: Cmcm, No. 63
Density of states at the Fermi level in states/eV per cell: 4.00
Size of the total moment in μB/cell: 0.00

a = 4.432 Å, b = 7.727 Å, c = 15.284 Å
α = 90.00°, β = 90.00°, γ = 106.67°
Fractional positions:
Ba 0.113 0.226 0.750
Ba 0.887 0.774 0.250
Li 0.845 0.689 0.750
Li 0.155 0.311 0.250
Ac 0.369 0.738 0.558
Ac 0.631 0.262 0.058
Ac 0.631 0.262 0.442
Ac 0.369 0.738 0.942
Se 0.271 0.542 0.124
Se 0.729 0.458 0.624
Se 0.729 0.458 0.876
Se 0.271 0.542 0.376
Se 0.000 0.000 0.500
Se 0.000 0.000 0.000
Se 0.440 0.881 0.750
Se 0.560 0.119 0.250


2.
ScGa3Cu: optimized geometry, GGA-PBE.

Calculated values
V in Å³/atom: 17.6
SG: Cmmm, No. 65
Density of states at the Fermi level in states/eV per cell: 4.77
Energy of formation from the pure elements in eV per atom: -0.321
Size of the total moment in μB/cell: 0.00

a = 3.685 Å, b = 4.130 Å, c = 11.736 Å
α = 100.13°, β = 90.00°, γ = 90.00°
Fractional positions:
Sc 0.500 0.833 0.665
Sc 0.500 0.167 0.335
Ga 0.000 0.057 0.115
Ga 0.000 0.943 0.885
Ga 0.000 0.278 0.557
Ga 0.000 0.722 0.443
Ga 0.500 0.446 0.893
Ga 0.500 0.554 0.107
Cu 0.000 0.621 0.241
Cu 0.000 0.379 0.759